Record 1
This record from Alexandria describes a relaxed structure of PmY6In2. The functional is PBE.

Structure (POSCAR):
```
PmY6In2
1.0
6.392 -1.885 0.000
6.392 1.885 0.000
-3.663 0.000 11.468
Pm Y In
1 6 2
direct
0.000 0.000 0.000
0.015 0.015 0.343
0.309 0.309 0.415
0.314 0.314 0.125
0.686 0.686 0.875
0.691 0.691 0.585
0.985 0.985 0.657
0.356 0.356 0.788
0.644 0.644 0.212
```

Its crystal system is monoclinic. The formation energy comes out at -218 meV/atom.


Record 2
This record from Alexandria describes a relaxed structure of Dy4HoCu5. The functional is PBE.

Structure (POSCAR):
```
Dy4HoCu5
1.0
3.447 0.000 0.000
0.000 3.447 0.000
0.000 0.000 17.468
Dy Ho Cu
4 1 5
direct
0.000 0.000 0.100
0.000 0.000 0.300
0.000 0.000 0.700
0.000 0.000 0.900
0.000 0.000 0.500
0.500 0.500 0.000
0.500 0.500 0.200
0.500 0.500 0.401
0.500 0.500 0.599
0.500 0.500 0.800
```

Its crystal system is tetragonal. The formation energy comes out at -259 meV/atom.


Record 3
This record from Alexandria describes a relaxed structure of Ag6ClF4. The functional is PBE.

Structure (POSCAR):
```
Ag6ClF4
1.0
1.662 -5.658 0.000
1.662 5.658 0.000
0.000 0.000 20.078
Ag Cl F
12 2 8
direct
0.000 0.000 0.000
0.000 0.000 0.500
0.163 0.837 0.750
0.270 0.730 0.056
0.270 0.730 0.444
0.496 0.504 0.677
0.496 0.504 0.823
0.504 0.496 0.177
0.504 0.496 0.323
0.730 0.270 0.556
0.730 0.270 0.944
0.837 0.163 0.250
0.155 0.845 0.250
0.845 0.155 0.750
0.139 0.861 0.627
0.139 0.861 0.873
0.404 0.596 0.574
0.404 0.596 0.926
0.596 0.404 0.074
0.596 0.404 0.426
0.861 0.139 0.127
0.861 0.139 0.373
```

The value obtained for the formation energy (no corrections) is -743 meV per atom. Its crystal system is orthorhombic.


Record 4
This record from Alexandria describes a relaxed structure of La5Pr4Er. The functional is PBE.

Structure (POSCAR):
```
La5Pr4Er
1.0
3.733 0.000 0.000
0.000 3.733 0.000
0.000 0.000 25.936
La Pr Er
5 4 1
direct
0.000 0.000 0.000
0.000 0.000 0.203
0.000 0.000 0.405
0.000 0.000 0.595
0.000 0.000 0.797
0.500 0.500 0.102
0.500 0.500 0.304
0.500 0.500 0.696
0.500 0.500 0.898
0.500 0.500 0.500
```

The value obtained for the distance to the lowest polymorph of the same formula is 0 meV per atom. Its crystal system is tetragonal. The formation energy comes out at 19 meV/atom.


Record 5
This record from Alexandria describes a relaxed structure of Fe2PAu. The functional is PBE.

Structure (POSCAR):
```
Fe2PAu
1.0
-1.880 1.880 3.911
1.880 -1.880 3.911
1.880 1.880 -3.911
Fe P Au
2 1 1
direct
0.000 0.000 0.000
0.750 0.250 0.500
0.250 0.750 0.500
0.500 0.500 0.000
```

Its crystal system is tetragonal. The formation energy comes out at 259 meV/atom.


Record 6
This record from Alexandria describes a relaxed structure of ScTl2P. The functional is PBE.

Structure (POSCAR):
```
ScTl2P
1.0
3.991 0.000 0.000
0.000 3.991 0.000
0.000 0.000 5.814
Sc Tl P
1 2 1
direct
0.000 0.000 0.000
0.500 0.500 0.255
0.500 0.500 0.745
0.000 0.000 0.500
```

The value obtained for the distance to the lowest polymorph of the same formula is 520 meV per atom. Its crystal system is tetragonal. The formation energy comes out at 71 meV/atom.


Record 7
This record from Alexandria describes a relaxed structure of TaZn2Si. The functional is PBE.

Structure (POSCAR):
```
TaZn2Si
1.0
3.394 0.000 0.000
0.000 3.394 0.000
0.000 0.000 5.497
Ta Zn Si
1 2 1
direct
0.000 0.000 0.000
0.000 0.000 0.509
0.500 0.500 0.287
0.500 0.500 0.800
```

The value obtained for the formation energy (no corrections) is 21 meV per atom. Its crystal system is tetragonal.


Record 8
This record from Alexandria describes a relaxed structure of SrCo2Si. The functional is PBE.

Structure (POSCAR):
```
SrCo2Si
1.0
4.352 0.000 0.000
0.000 4.352 0.000
0.000 0.000 3.243
Sr Co Si
1 2 1
direct
0.000 0.000 0.000
0.000 0.500 0.500
0.500 0.000 0.500
0.500 0.500 0.000
```

The value obtained for the formation energy (no corrections) is 500 meV per atom. Its crystal system is tetragonal.


Record 9
This record from Alexandria describes a relaxed structure of PuTh2ScSb5. The functional is PBE.

Structure (POSCAR):
```
PuTh2ScSb5
1.0
5.018 0.000 0.000
0.000 5.018 0.000
0.000 0.000 11.584
Pu Th Sc Sb
1 2 1 5
direct
0.000 0.000 0.000
0.500 0.500 0.288
0.500 0.500 0.712
0.000 0.000 0.500
0.000 0.000 0.252
0.000 0.000 0.748
0.000 0.500 0.500
0.500 0.000 0.500
0.500 0.500 0.000
```

The value obtained for the formation energy (no corrections) is -281 meV per atom. Its crystal system is tetragonal.


Record 10
This record from Alexandria describes a relaxed structure of AcPm4Si4. The functional is PBE.

Structure (POSCAR):
```
AcPm4Si4
1.0
9.594 0.000 0.000
0.000 9.594 0.000
0.000 0.000 5.883
Ac Pm Si
2 8 8
direct
0.250 0.250 0.250
0.750 0.750 0.750
0.107 0.636 0.125
0.136 0.893 0.625
0.364 0.607 0.625
0.393 0.864 0.125
0.607 0.136 0.875
0.636 0.393 0.375
0.864 0.107 0.375
0.893 0.364 0.875
0.053 0.582 0.631
0.082 0.947 0.131
0.418 0.553 0.131
0.447 0.918 0.631
0.553 0.082 0.369
0.582 0.447 0.869
0.918 0.053 0.869
0.947 0.418 0.369
```

The value obtained for the formation energy (no corrections) is -440 meV per atom. Its crystal system is tetragonal.


no.,calculated total energy (eV per atom)
1,-5.66
2,-4.61
3,-3.15
4,-4.81
5,-6.14
6,-4.05
7,-4.94
8,-4.83
9,-6.52
10,-5.42